Here is La3MnO after structural relaxation from Alexandria via LeMat-Bulk. Energies are from PBEsol.

a b c (Å): 4.957 4.957 4.957
angles (deg): 90.00 90.00 90.00
Fractional coordinates of all 5 atoms:
La  0.000  0.000  0.500
La  0.000  0.500  0.000
La  0.500  0.000  0.000
Mn  0.500  0.500  0.500
O  0.000  0.000  0.000

Calculated values
Crystal system = cubic
Space group = No. 221
Calculated total energy = -7.148 eV/atom
D(E_F) = 4.3 states/eV/f.u.



Here is La5MnRe3O16 after structural relaxation from Alexandria via LeMat-Bulk. Energies are from PBEsol.

a b c (Å): 5.629 5.640 10.068
angles (deg): 93.67 93.40 91.05
Fractional coordinates of all 25 atoms:
La  0.000  0.000  0.000
La  0.034  0.508  0.709
La  0.487  0.972  0.296
La  0.513  0.028  0.704
La  0.966  0.492  0.291
Mn  0.500  0.500  0.500
Re  0.000  0.000  0.500
Re  0.446  0.446  0.107
Re  0.554  0.554  0.893
O  0.070  0.076  0.684
O  0.179  0.292  0.465
O  0.216  0.695  0.135
O  0.223  0.218  0.177
O  0.298  0.777  0.863
O  0.301  0.815  0.499
O  0.311  0.304  0.931
O  0.457  0.454  0.697
O  0.543  0.546  0.303
O  0.689  0.696  0.069
O  0.699  0.185  0.501
O  0.702  0.223  0.137
O  0.777  0.782  0.823
O  0.784  0.305  0.865
O  0.821  0.708  0.535
O  0.930  0.924  0.316

Calculated values
Crystal system = triclinic
Space group = No. 2
Calculated total energy = -8.986 eV/atom
D(E_F) = 10.0 states/eV/f.u.



Here is SrLaMnRuO6 after structural relaxation from Alexandria via LeMat-Bulk. Energies are from PBEsol.

a b c (Å): 5.398 5.398 5.398
angles (deg): 61.46 61.46 61.46
Fractional coordinates of all 10 atoms:
Sr  0.000  0.000  0.000
La  0.500  0.500  0.500
Mn  0.250  0.250  0.250
Ru  0.750  0.750  0.750
O  0.010  0.439  0.549
O  0.071  0.942  0.492
O  0.439  0.549  0.010
O  0.492  0.071  0.942
O  0.549  0.010  0.439
O  0.942  0.492  0.071

Calculated values
Crystal system = trigonal
Space group = No. 146
Calculated total energy = -8.112 eV/atom
D(E_F) = 3.3 states/eV/f.u.



Here is SrLaMnRuO6 after structural relaxation from Alexandria via LeMat-Bulk. Energies are from PBEsol.

a b c (Å): 5.477 5.449 9.459
angles (deg): 90.00 125.24 90.00
Fractional coordinates of all 20 atoms:
Sr  0.000  0.225  0.000
Sr  0.000  0.775  0.500
La  0.509  0.282  0.500
La  0.509  0.718  0.000
Mn  0.753  0.248  0.250
Mn  0.753  0.752  0.750
Ru  0.253  0.248  0.750
Ru  0.253  0.752  0.250
O  0.066  0.246  0.494
O  0.066  0.754  0.994
O  0.452  0.260  0.006
O  0.452  0.740  0.506
O  0.509  0.041  0.285
O  0.509  0.959  0.785
O  0.569  0.477  0.782
O  0.569  0.523  0.282
O  0.926  0.030  0.716
O  0.926  0.970  0.216
O  0.992  0.467  0.218
O  0.992  0.533  0.718

Calculated values
Crystal system = monoclinic
Space group = No. 7
Calculated total energy = -8.116 eV/atom
D(E_F) = 3.5 states/eV/f.u.



Here is La2Mn3Sb3O14 after structural relaxation from Alexandria via LeMat-Bulk. Energies are from PBEsol.

a b c (Å): 7.282 7.282 7.286
angles (deg): 119.37 119.37 60.37
Fractional coordinates of all 22 atoms:
La  0.000  0.000  0.000
La  0.000  0.000  0.500
Mn  0.000  0.500  0.500
Mn  0.500  0.000  0.500
Mn  0.500  0.500  0.000
Sb  0.000  0.500  0.000
Sb  0.500  0.000  0.000
Sb  0.500  0.500  0.500
O  0.147  0.147  0.397
O  0.169  0.581  0.928
O  0.170  0.170  0.914
O  0.171  0.576  0.330
O  0.419  0.831  0.072
O  0.424  0.829  0.670
O  0.431  0.431  0.686
O  0.569  0.569  0.314
O  0.576  0.171  0.330
O  0.581  0.169  0.928
O  0.829  0.424  0.670
O  0.830  0.830  0.086
O  0.831  0.419  0.072
O  0.853  0.853  0.603

Calculated values
Crystal system = monoclinic
Space group = No. 12
Calculated total energy = -7.692 eV/atom
D(E_F) = 3.8 states/eV/f.u.



Here is SrLaMnSbO6 after structural relaxation from Alexandria via LeMat-Bulk. Energies are from PBEsol.

a b c (Å): 5.655 5.752 9.809
angles (deg): 90.00 125.15 90.00
Fractional coordinates of all 20 atoms:
Sr  0.000  0.214  0.000
Sr  0.000  0.786  0.500
La  0.479  0.298  0.499
La  0.479  0.702  0.999
Mn  0.241  0.245  0.750
Mn  0.241  0.755  0.250
Sb  0.742  0.247  0.250
Sb  0.742  0.753  0.750
O  0.076  0.052  0.297
O  0.076  0.948  0.797
O  0.426  0.458  0.211
O  0.426  0.542  0.711
O  0.503  0.040  0.703
O  0.503  0.960  0.203
O  0.573  0.279  0.007
O  0.573  0.721  0.507
O  0.892  0.228  0.493
O  0.892  0.772  0.993
O  0.997  0.476  0.796
O  0.997  0.524  0.296

Calculated values
Crystal system = monoclinic
Space group = No. 7
Calculated total energy = -7.645 eV/atom



Here is Sr3LaMn2O8 after structural relaxation from Alexandria via LeMat-Bulk. Energies are from PBEsol.

a b c (Å): 5.418 6.707 6.707
angles (deg): 47.67 90.00 90.00
Fractional coordinates of all 14 atoms:
Sr  0.000  0.000  0.000
Sr  0.000  0.284  0.284
Sr  0.500  0.787  0.787
La  0.500  0.504  0.504
Mn  0.000  0.645  0.645
Mn  0.500  0.144  0.144
O  0.000  0.484  0.484
O  0.000  0.800  0.800
O  0.254  0.394  0.888
O  0.254  0.888  0.394
O  0.500  0.309  0.309
O  0.500  0.985  0.985
O  0.746  0.394  0.888
O  0.746  0.888  0.394

Calculated values
Crystal system = orthorhombic
Space group = No. 38
Calculated total energy = -7.803 eV/atom
D(E_F) = 1.1 states/eV/f.u.



Here is SrLaMnO4 after structural relaxation from Alexandria via LeMat-Bulk. Energies are from PBEsol.

a b c (Å): 6.776 6.776 5.439
angles (deg): 90.00 90.00 132.84
Fractional coordinates of all 14 atoms:
Sr  0.106  0.894  0.750
Sr  0.894  0.106  0.250
La  0.387  0.613  0.750
La  0.613  0.387  0.250
Mn  0.248  0.752  0.250
Mn  0.752  0.248  0.750
O  0.000  0.500  0.000
O  0.000  0.500  0.500
O  0.088  0.912  0.250
O  0.423  0.577  0.250
O  0.500  0.000  0.000
O  0.500  0.000  0.500
O  0.577  0.423  0.750
O  0.912  0.088  0.750

Calculated values
Crystal system = orthorhombic
Space group = No. 63
Calculated total energy = -8.122 eV/atom
D(E_F) = 1.2 states/eV/f.u.



no.,formation energy from raw total energies (eV per formula unit)
1,-4.69
2,-64.18
3,-22.50
4,-22.54
5,-42.08
6,-23.45
7,-36.85
8,-18.91